Density functional theory data (PBE) for crystalline Tb3PrSc at its relaxed geometry.

a b c (Å): 5.4077 6.9907 8.7486
angles (deg): 89.94 108.00 90.00
Last column: nearest neighbours and their distance in Å.
Positions (direct):
Tb 0.3872 0.9972 0.7744  2 Pr 3.46-3.53, 3 Sc 3.50-3.57, 8 Tb 3.54-3.75
Pr 0.6128 0.4979 0.2257  9 Tb 3.46-3.77, 3 Sc 3.53-3.61, 1 Pr 3.76
Tb 0.2011 0.7525 0.4023  4 Sc 3.17-3.55, 4 Tb 3.39-3.54
Tb 0.6128 0.0028 0.2256  2 Pr 3.46-3.53, 3 Sc 3.50-3.57, 8 Tb 3.54-3.75
Sc 0.1993 0.2454 0.3987  7 Tb 3.17-3.55, 2 Pr 3.53
Tb 0.9973 0.7541 0.9947  1 Sc 3.27, 3 Tb 3.39-3.55
Sc 0.8007 0.7546 0.6013  7 Tb 3.17-3.55, 2 Pr 3.53
Pr 0.3872 0.5021 0.7743  9 Tb 3.46-3.77, 3 Sc 3.53-3.61, 1 Pr 3.76
Tb 0.7989 0.2475 0.5977  4 Sc 3.17-3.55, 4 Tb 3.39-3.54
Tb 0.0027 0.2459 0.0053  1 Sc 3.27, 3 Tb 3.39-3.55

Results
Its density of states at the Fermi level is 7.5 states/eV/f.u. Its symmetry is C2/m (12). Its formation energy is 49 meV/atom. The total magnetization is 0.0 μB/f.u.